Record 1
{
  "formula": "NaZr2IrO8",
  "functional": "GGA-PBE",
  "state": "relaxed",
  "dft_energy_ev_per_cell": -90.738,
  "e_form_raw_ev_per_fu": -23.8,
  "space_group": "Cmmm, No. 65",
  "magnetic_moment_mub_per_atom": 0.141,
  "lattice_angstrom": [[4.8470, 0.0088, -0.0031], [0.0317, 4.8553, -0.0053], [0.0042, 0.0072, 6.6343]],
  "species": ["O", "O", "O", "Zr", "O", "Na", "O", "O", "O", "Ir", "Zr", "O"],
  "frac_coords": [[0.1975, 0.8034, 0.7982], [0.1975, 0.8033, 0.2018], [0.2856, 0.2860, 0.0000], [0.5000, 0.5000, 0.7381], [0.7144, 0.7140, 0.0000], [0.0000, 0.0000, 0.5000], [0.3146, 0.3159, 0.5000], [0.8025, 0.1966, 0.2018], [0.8025, 0.1967, 0.7982], [0.0000, 0.0000, 0.0000], [0.5000, 0.5000, 0.2619], [0.6854, 0.6841, 0.5000]]
}



Record 2
{
  "formula": "CeSmTm2",
  "functional": "GGA-PBE",
  "state": "relaxed",
  "dft_energy_ev_per_cell": -19.025,
  "relative_energy_ev_per_atom": 0.094,
  "space_group": "Fm-3m, No. 225",
  "magnetic_moment_mub_per_atom": 0.156,
  "formation_enthalpy_0k_kj_per_mol_atoms": 14,
  "lattice_angstrom": [[-5.4696, 1.2354, -0.5341], [-3.8924, -3.9269, 1.0754], [-3.2494, 0.4354, 4.5804]],
  "species": ["Tm", "Ce", "Tm", "Sm"],
  "frac_coords": [[0.7500, 0.7500, 0.7500], [0.0000, 0.0000, 0.0000], [0.2500, 0.2500, 0.2500], [0.5000, 0.5000, 0.5000]]
}



Record 3
{
  "formula": "SrHfI2O",
  "functional": "GGA-PBE",
  "state": "relaxed",
  "dft_energy_ev_per_cell": -20.445,
  "relative_energy_ev_per_atom": 1.197,
  "e_form_raw_ev_per_fu": -0.8,
  "space_group": "P4/mmm, No. 123",
  "magnetic_moment_mub_per_atom": 0.382,
  "lattice_angstrom": [[-2.2558, -5.8151, -0.9280], [5.7217, -2.3994, 1.1268], [-0.9339, -0.2944, 4.1152]],
  "species": ["Sr", "Hf", "O", "I", "I"],
  "frac_coords": [[0.0000, 0.0000, 0.0000], [0.5000, 0.5000, 0.5000], [0.0000, 0.0000, 0.5000], [0.0000, 0.5000, 0.0000], [0.5000, 0.0000, 0.0000]]
}



Record 4
{
  "formula": "RbPd2Au2",
  "functional": "GGA-PBE",
  "state": "relaxed",
  "dft_energy_ev_per_cell": -17.391,
  "relative_energy_ev_per_atom": 0.140,
  "space_group": "I4/mmm, No. 139",
  "magnetic_moment_mub_per_atom": 0.000,
  "formation_enthalpy_0k_kj_per_mol_atoms": 10,
  "lattice_angstrom": [[-3.9018, -2.4911, -0.9239], [1.8372, -1.3439, -4.1354], [1.1413, -6.1957, -0.1736]],
  "species": ["Rb", "Pd", "Au", "Au", "Pd"],
  "frac_coords": [[0.0000, 0.0000, 0.0000], [0.3761, 0.3761, 0.2478], [0.2500, 0.7500, 0.5000], [0.7500, 0.2500, 0.5000], [0.6239, 0.6239, 0.7522]]
}



Per-record mass density, g/cm³: 5.6, 8.3, 5.3, 9.6